HfZnCoSn PBE-GGA optimized geometry; excess energy over the best structure of this formula in the dataset = 0.1932 eV per atom; space group = F-43m, No. 216; electronic total energy = -5.5188 eV/atom
1.0
-3.6796 2.2848 1.5063
-2.1949 2.9049 -2.7879
-4.1674 -1.0589 -1.5938
Co Hf Sn Zn
1 1 1 1
direct
0.7500 0.7500 0.7500
0.2500 0.2500 0.2500
0.0000 0.0000 0.0000
0.5000 0.5000 0.5000